SCAN MgGeIN2, PBEsol geometry; E_form (uncorrected) = 936 meV per atom
1.0
3.840 0.000 0.000
0.000 3.840 0.000
0.000 0.000 6.006
I Mg N Ge
1 1 2 1
Direct
0.000 0.000 0.500
0.500 0.500 0.500
0.000 0.500 0.000
0.500 0.000 0.000
0.000 0.000 0.000